Below is an optimized crystal structure of CePmHgAu, with properties calculated at the PBE level.

a = 3.726 Å, b = 3.726 Å, c = 7.651 Å
α = 90.00°, β = 90.00°, γ = 90.00°
Positions (direct):
1 Ce 0.000 0.000 0.000
2 Pm 0.000 0.000 0.526
3 Hg 0.500 0.500 0.266
4 Au 0.500 0.500 0.755

Results
Its formation energy from the elements is -531.3 meV per atom. The calculated volume comes out at 106.22 Å³/f.u. The polymorph energy (0 for the lowest one) is 0 meV per atom.